Entry i
Cd6GaAg12: relaxed, GGA-PBE. Values from VASP.

Cell and atoms, written as Quantum ESPRESSO input:
```
&SYSTEM
  ibrav = 0, nat = 19, ntyp = 3
/
ATOMIC_SPECIES
Cd 112.41 Cd.upf
Ga 69.72 Ga.upf
Ag 107.87 Ag.upf
ATOMIC_POSITIONS angstrom
Cd -2.8562 0.6565 5.4755
Cd -1.9967 -2.1453 6.4855
Cd 0.8595 -2.8018 5.4755
Cd -0.8595 2.8018 6.4855
Cd 1.9967 2.1453 5.4755
Cd 2.8562 -0.6565 6.4855
Ga 0.0000 0.0000 5.9805
Ag -1.3349 -4.6843 5.0880
Ag -4.7241 -1.1860 6.8730
Ag -1.1423 -1.2520 3.7630
Ag -3.3892 3.4982 5.0880
Ag -0.5131 1.6152 3.7630
Ag 1.6554 -0.3632 3.7630
Ag -1.6554 0.3632 8.1980
Ag 0.5131 -1.6152 8.1980
Ag 3.3892 -3.4982 6.8730
Ag 1.1423 1.2520 8.1980
Ag 4.7242 1.1860 5.0880
Ag 1.3349 4.6843 6.8730
CELL_PARAMETERS angstrom
5.1566 2.9772 3.9870
-5.1566 2.9772 3.9870
0.0000 -5.9543 3.9870
```

Output
Density of states at the Fermi level = 5.33 states/eV per cell

---

Entry ii
Cd6GaAg12: relaxed, GGA-PBE. Values from VASP.

Cell and atoms, written as Quantum ESPRESSO input:
```
&SYSTEM
  ibrav = 0, nat = 19, ntyp = 3
/
ATOMIC_SPECIES
Cd 112.41 Cd.upf
Ga 69.72 Ga.upf
Ag 107.87 Ag.upf
ATOMIC_POSITIONS angstrom
Cd -1.4777 -0.8596 2.4229
Cd -0.0056 1.7095 2.4229
Cd 1.4833 -0.8499 2.4229
Cd -1.4833 0.8499 7.5011
Cd 0.0056 -1.7095 7.5011
Cd 1.4777 0.8596 7.5011
Ga 0.0000 0.0000 4.9620
Ag -0.0075 -3.8915 2.8753
Ag -3.3664 1.9522 2.8753
Ag -1.4604 -2.5226 4.9641
Ag -2.9148 0.0034 4.9599
Ag -3.3739 -1.9393 7.0486
Ag 1.4544 -2.5260 4.9599
Ag -1.4544 2.5260 4.9641
Ag 3.3739 1.9393 2.8753
Ag 2.9148 -0.0034 4.9641
Ag 1.4604 2.5226 4.9599
Ag 3.3664 -1.9522 7.0487
Ag 0.0074 3.8915 7.0487
CELL_PARAMETERS angstrom
5.6895 3.2849 3.3080
-5.6895 3.2849 3.3080
0.0000 -6.5697 3.3080
```

Output
Density of states at the Fermi level = 7.96 states/eV per cell

---

Stability check: which of them is least stable? entry ii.

---

Entry i
Cd6GaAg3: relaxed, GGA-PBE. Values from VASP.

Cell and atoms, written as Quantum ESPRESSO input:
```
&SYSTEM
  ibrav = 0, nat = 20, ntyp = 3
/
ATOMIC_SPECIES
Cd 112.41 Cd.upf
Ga 69.72 Ga.upf
Ag 107.87 Ag.upf
ATOMIC_POSITIONS angstrom
Cd -0.6128 0.7899 4.2433
Cd -2.2753 0.7899 11.2780
Cd 0.1929 2.3696 9.5588
Cd 2.8364 2.3696 0.2477
Cd 2.1097 2.3696 4.6960
Cd 2.2044 0.7899 7.3803
Cd 5.1172 2.3696 5.2861
Cd 5.2120 0.7899 7.9704
Cd 4.4852 0.7899 12.4187
Cd 7.1287 0.7899 3.1075
Cd 9.5970 2.3696 1.3883
Cd 7.9344 2.3696 8.4230
Ga 4.0603 0.7899 2.9279
Ga 3.2614 2.3696 9.7384
Ag -0.2533 2.3696 6.6805
Ag 1.4190 0.7899 2.2177
Ag 1.7236 0.7899 11.4755
Ag 5.5980 2.3696 1.1909
Ag 5.9026 2.3696 10.4487
Ag 7.5750 0.7899 5.9858
CELL_PARAMETERS angstrom
10.4628 0.0000 0.0000
0.0000 3.1595 0.0000
-3.1412 0.0000 12.6664
```

Output
Density of states at the Fermi level = 3.97 states/eV per cell

---

Entry ii
Cd6GaAg3: relaxed, GGA-PBE. Values from VASP.

Cell and atoms, written as Quantum ESPRESSO input:
```
&SYSTEM
  ibrav = 0, nat = 20, ntyp = 3
/
ATOMIC_SPECIES
Cd 112.41 Cd.upf
Ga 69.72 Ga.upf
Ag 107.87 Ag.upf
ATOMIC_POSITIONS angstrom
Cd -2.0077 0.9145 2.3792
Cd -5.6429 2.5929 6.2847
Cd -3.0222 1.1683 5.2829
Cd 0.6130 2.3392 1.3773
Cd -2.9950 4.3671 6.6126
Cd 0.6402 6.1553 2.7071
Cd -0.1480 0.8596 5.1040
Cd 3.4872 2.6478 1.1985
Cd -0.1208 4.6758 6.4338
Cd 3.5144 5.8466 2.5282
Cd 6.1351 4.4220 1.5264
Cd 2.4999 6.1004 5.4319
Ga 0.0000 0.0000 0.0000
Ga -3.6352 3.5075 3.9055
Ag 1.8201 4.9319 0.3031
Ag -1.8151 5.5905 4.2086
Ag 3.8813 0.0000 0.0000
Ag 0.2461 3.5075 3.9055
Ag 2.3072 1.4244 3.6024
Ag -1.3280 2.0830 7.5080
CELL_PARAMETERS angstrom
7.7626 0.0000 0.0000
0.0000 7.0149 0.0000
-7.2704 0.0000 7.8111
```

Output
Density of states at the Fermi level = 6.66 states/eV per cell

---

Stability check: which of them is least stable? entry ii.

---

Entry i
Cd2GaAg3: relaxed, GGA-PBE. Values from VASP.

Cell and atoms, written as Quantum ESPRESSO input:
```
&SYSTEM
  ibrav = 0, nat = 12, ntyp = 3
/
ATOMIC_SPECIES
Cd 112.41 Cd.upf
Ga 69.72 Ga.upf
Ag 107.87 Ag.upf
ATOMIC_POSITIONS angstrom
Cd 0.0000 0.0000 0.0000
Cd 0.0000 4.1480 0.0000
Cd 0.0884 0.0000 4.3930
Cd 2.1048 0.0000 2.2197
Ga 0.0943 4.1480 4.3662
Ga 2.0989 4.1480 2.2465
Ag 0.0434 2.1579 2.2224
Ag 0.0434 6.1382 2.2224
Ag 2.0637 2.0974 0.0000
Ag 2.0637 6.1987 0.0000
Ag 2.1497 2.1579 4.3904
Ag 2.1497 6.1382 4.3904
CELL_PARAMETERS angstrom
4.1274 0.0000 0.0000
0.0000 8.2961 0.0000
-1.9342 0.0000 6.6127
```

Output
Density of states at the Fermi level = 3.69 states/eV per cell

---

Entry ii
Cd2GaAg3: relaxed, GGA-PBE. Values from VASP.

Cell and atoms, written as Quantum ESPRESSO input:
```
&SYSTEM
  ibrav = 0, nat = 12, ntyp = 3
/
ATOMIC_SPECIES
Cd 112.41 Cd.upf
Ga 69.72 Ga.upf
Ag 107.87 Ag.upf
ATOMIC_POSITIONS angstrom
Cd 3.0503 2.5413 4.2095
Cd 6.2038 2.5413 4.2095
Cd 3.0503 -2.5413 1.4032
Cd 6.2038 -2.5413 1.4032
Ga 4.6270 2.1168 1.4032
Ga 4.6270 -2.1168 4.2095
Ag 0.0000 0.0000 0.0000
Ag 0.0000 0.0000 2.8064
Ag 3.1628 0.0000 0.0000
Ag 3.1628 0.0000 2.8064
Ag 6.0913 0.0000 0.0000
Ag 6.0913 0.0000 2.8064
CELL_PARAMETERS angstrom
4.6270 -4.6004 0.0000
4.6270 4.6004 0.0000
0.0000 0.0000 5.6127
```

Output
Density of states at the Fermi level = 3.68 states/eV per cell

---

Stability check: which of them is least stable? entry ii.

---

Entry i
Cd6GaAg8: relaxed, GGA-PBE. Values from VASP.

Cell and atoms, written as Quantum ESPRESSO input:
```
&SYSTEM
  ibrav = 0, nat = 15, ntyp = 3
/
ATOMIC_SPECIES
Cd 112.41 Cd.upf
Ga 69.72 Ga.upf
Ag 107.87 Ag.upf
ATOMIC_POSITIONS angstrom
Cd -1.4782 2.5603 0.9555
Cd -2.4927 4.3175 4.7373
Cd 2.9564 0.0000 0.9555
Cd 1.4782 2.5603 4.7373
Cd 4.9854 0.0000 4.7373
Cd 2.4927 4.3175 0.9555
Ga 0.0000 0.0000 0.0000
Ag -1.1250 1.9485 3.7657
Ag -2.8460 4.9293 1.9271
Ag 2.2500 0.0000 3.7657
Ag 1.1250 1.9485 1.9271
Ag 0.0000 4.5852 2.8464
Ag 3.9709 2.2926 2.8464
Ag 5.6919 0.0000 1.9271
Ag 2.8460 4.9293 3.7657
CELL_PARAMETERS angstrom
7.9419 0.0000 0.0000
-3.9709 6.8779 0.0000
0.0000 0.0000 5.6928
```

Output
Density of states at the Fermi level = 6.27 states/eV per cell

---

Entry ii
Cd6GaAg8: relaxed, GGA-PBE. Values from VASP.

Cell and atoms, written as Quantum ESPRESSO input:
```
&SYSTEM
  ibrav = 0, nat = 15, ntyp = 3
/
ATOMIC_SPECIES
Cd 112.41 Cd.upf
Ga 69.72 Ga.upf
Ag 107.87 Ag.upf
ATOMIC_POSITIONS angstrom
Cd -1.9805 -1.8745 8.0212
Cd -2.6136 0.7779 10.1138
Cd 0.6331 -2.6524 10.1138
Cd -0.6331 2.6524 8.0213
Cd 2.6136 -0.7779 8.0213
Cd 1.9805 1.8745 10.1138
Ga 0.0000 0.0000 9.0675
Ag -2.7076 0.8138 7.1753
Ag -2.0586 -1.9380 10.9598
Ag 0.6490 -2.7518 7.1753
Ag 0.0000 0.0000 6.3605
Ag 0.0000 0.0000 11.7746
Ag -0.6490 2.7518 10.9598
Ag 2.0586 1.9380 7.1753
Ag 2.7076 -0.8138 10.9598
CELL_PARAMETERS angstrom
3.7609 2.1714 6.0450
-3.7609 2.1714 6.0450
0.0000 -4.3427 6.0450
```

Output
Density of states at the Fermi level = 4.58 states/eV per cell

---

Stability check: which of them is least stable? entry i.

---

Entry i
Cd4GaAg2: relaxed, GGA-PBE. Values from VASP.

Cell and atoms, written as Quantum ESPRESSO input:
```
&SYSTEM
  ibrav = 0, nat = 7, ntyp = 3
/
ATOMIC_SPECIES
Cd 112.41 Cd.upf
Ga 69.72 Ga.upf
Ag 107.87 Ag.upf
ATOMIC_POSITIONS angstrom
Cd 0.0000 0.0000 7.6705
Cd 0.0000 0.0000 15.4276
Cd 0.0000 0.0000 38.3052
Cd 0.0000 0.0000 46.0623
Ga 0.0000 0.0000 0.0000
Ag 0.0000 0.0000 12.6132
Ag 0.0000 0.0000 41.1196
CELL_PARAMETERS angstrom
1.5341 0.8857 17.9109
-1.5341 0.8857 17.9109
0.0000 -1.7714 17.9109
```

Output
Density of states at the Fermi level = 1.90 states/eV per cell

---

Entry ii
Cd4GaAg2: relaxed, GGA-PBE. Values from VASP.

Cell and atoms, written as Quantum ESPRESSO input:
```
&SYSTEM
  ibrav = 0, nat = 14, ntyp = 3
/
ATOMIC_SPECIES
Cd 112.41 Cd.upf
Ga 69.72 Ga.upf
Ag 107.87 Ag.upf
ATOMIC_POSITIONS angstrom
Cd 0.5130 1.4475 0.4973
Cd -1.7082 2.9074 4.9268
Cd -1.7082 5.7777 4.9268
Cd 0.9356 4.3425 2.0413
Cd 2.8845 1.4475 4.7230
Cd 5.5283 0.0123 1.8374
Cd 5.5283 2.8827 1.8374
Cd 3.3071 4.3425 6.2669
Ga 0.9634 4.3425 4.7787
Ga 2.8567 1.4475 1.9855
Ag 0.3105 1.4475 3.3800
Ag 3.3341 4.3425 0.4268
Ag 0.4860 1.4475 6.3375
Ag 3.5096 4.3425 3.3842
CELL_PARAMETERS angstrom
7.4291 0.0000 0.0000
0.0000 5.7901 0.0000
-3.6091 0.0000 6.7642
```

Output
Density of states at the Fermi level = 4.03 states/eV per cell

---

Stability check: which of them is least stable? entry i.

---

Entry i
Cd3GaAg: relaxed, GGA-PBE. Values from VASP.

Cell and atoms, written as Quantum ESPRESSO input:
```
&SYSTEM
  ibrav = 0, nat = 10, ntyp = 3
/
ATOMIC_SPECIES
Cd 112.41 Cd.upf
Ga 69.72 Ga.upf
Ag 107.87 Ag.upf
ATOMIC_POSITIONS angstrom
Cd -0.9021 0.0000 1.8924
Cd -0.5846 1.6333 4.6031
Cd -0.5846 -1.6333 4.6031
Cd 6.1852 1.6333 0.8157
Cd 6.1852 -1.6333 0.8157
Cd 6.5027 0.0000 3.5263
Ga 1.5354 0.0000 3.4892
Ga 4.0652 0.0000 1.9296
Ag 1.6908 0.0000 0.8016
Ag 3.9098 0.0000 4.6172
CELL_PARAMETERS angstrom
4.9025 -4.4272 0.0000
4.9025 4.4272 0.0000
-4.2045 0.0000 5.4188
```

Output
Density of states at the Fermi level = 3.27 states/eV per cell

---

Entry ii
Cd3GaAg: relaxed, GGA-PBE. Values from VASP.

Cell and atoms, written as Quantum ESPRESSO input:
```
&SYSTEM
  ibrav = 0, nat = 10, ntyp = 3
/
ATOMIC_SPECIES
Cd 112.41 Cd.upf
Ga 69.72 Ga.upf
Ag 107.87 Ag.upf
ATOMIC_POSITIONS angstrom
Cd 0.7586 2.4790 4.3070
Cd 0.7686 2.7781 1.1992
Cd 0.7686 6.1654 0.8146
Cd 3.7887 1.9761 8.7635
Cd 3.7887 5.3634 8.3789
Cd 3.7987 5.6625 5.2711
Ga 2.2688 0.7034 6.3837
Ga 2.2885 7.4381 3.1944
Ag 2.2704 3.4853 6.6603
Ag 2.2869 4.6562 2.9178
CELL_PARAMETERS angstrom
3.0368 0.0000 0.0000
0.0123 7.2045 0.0000
1.5082 0.9370 9.5781
```

Output
Density of states at the Fermi level = 2.33 states/eV per cell

---

Entry iii
Cd3GaAg: relaxed, GGA-PBE. Values from VASP.

Cell and atoms, written as Quantum ESPRESSO input:
```
&SYSTEM
  ibrav = 0, nat = 5, ntyp = 3
/
ATOMIC_SPECIES
Cd 112.41 Cd.upf
Ga 69.72 Ga.upf
Ag 107.87 Ag.upf
ATOMIC_POSITIONS angstrom
Cd 0.0000 0.0000 2.5823
Cd 0.0000 2.5823 0.0000
Cd 2.5823 0.0000 0.0000
Ga 0.0000 0.0000 0.0000
Ag 2.5823 2.5823 2.5823
CELL_PARAMETERS angstrom
5.1646 0.0000 0.0000
0.0000 5.1646 0.0000
0.0000 0.0000 5.1646
```

Output
Density of states at the Fermi level = 1.36 states/eV per cell

---

Stability check: which of them is least stable? entry iii.